(1)
DFT (PBE) results for an optimized crystal structure of LuCoBiMo.

Geometry as POSCAR:
```
LuCoBiMo
1.0
2.186 -2.663 3.330
-2.520 -3.158 2.575
0.609 -4.699 -0.710
Bi Co Lu Mo
1 1 1 1
direct
0.000 0.000 0.000 Bi
0.750 0.750 0.750 Co
0.250 0.250 0.250 Lu
0.500 0.500 0.500 Mo
```

Offset from the most stable computed form = 244 meV/atom
Symmetry = F-43m, No. 216
VASP energy = -6.040 eV/atom
Mass density = 11505 kg/m3

---

(2)
DFT (PBE) results for an optimized crystal structure of LuNbCo2Bi2.

Geometry as POSCAR:
```
LuNbCo2Bi2
1.0
-2.510 -5.611 0.901
4.017 -1.779 0.111
0.314 1.251 8.664
Bi Co Lu Nb
4 4 2 2
direct
0.984 0.500 0.124 Bi
0.513 0.000 0.374 Bi
0.013 0.500 0.626 Bi
0.484 0.000 0.876 Bi
0.733 0.000 0.112 Co
0.271 0.500 0.353 Co
0.771 0.000 0.647 Co
0.233 0.500 0.888 Co
0.011 0.000 0.374 Lu
0.511 0.500 0.626 Lu
0.488 0.500 0.124 Nb
0.988 0.000 0.876 Nb
```

Symmetry = Pmn2_1, No. 31
VASP energy = -6.428 eV/atom
Mass density = 11162 kg/m3

---

(3)
DFT (PBE) results for an optimized crystal structure of LuCoNiBi.

Geometry as POSCAR:
```
LuCoNiBi
1.0
0.000 3.317 3.317
3.317 0.000 3.317
3.317 3.317 0.000
Bi Co Lu Ni
1 1 1 1
direct
0.000 0.000 0.000 Bi
0.750 0.750 0.750 Co
0.250 0.250 0.250 Lu
0.500 0.500 0.500 Ni
```

Offset from the most stable computed form = 294 meV/atom
Symmetry = F-43m, No. 216
VASP energy = -5.168 eV/atom
Mass density = 11412 kg/m3